Entry 1:
Material: DySnPd
Method: DFT, PBE
State: optimized geometry Values from VASP.

```
&SYSTEM
  ibrav = 0, nat = 12, ntyp = 3
/
ATOMIC_SPECIES
Dy 162.50 Dy.upf
Sn 118.71 Sn.upf
Pd 106.42 Pd.upf
ATOMIC_POSITIONS crystal
Dy 0.0096 0.2500 0.2058
Dy 0.4904 0.7500 0.7058
Dy 0.5096 0.2500 0.2942
Dy 0.9904 0.7500 0.7942
Sn 0.1938 0.2500 0.5875
Sn 0.3062 0.7500 0.0875
Sn 0.6938 0.2500 0.9125
Sn 0.8062 0.7500 0.4125
Pd 0.2064 0.7500 0.4161
Pd 0.2936 0.2500 0.9161
Pd 0.7064 0.7500 0.0839
Pd 0.7936 0.2500 0.5839
CELL_PARAMETERS angstrom
7.2172 0.0000 0.0000
0.0000 4.6460 0.0000
0.0000 0.0000 7.9676
```

## Properties
The symmetry is Pnma. The value obtained for the energy of formation from the pure elements is -0.92 eV/atom. As for the density of states at the Fermi level: 6.01 states/eV/cell. For the final energy, the calculation gives -5.518 eV per atom.

---

Entry 2:
Material: Dy3Sn2Pd7
Method: DFT, PBE
State: optimized geometry Values from VASP.

```
&SYSTEM
  ibrav = 0, nat = 12, ntyp = 3
/
ATOMIC_SPECIES
Dy 162.50 Dy.upf
Sn 118.71 Sn.upf
Pd 106.42 Pd.upf
ATOMIC_POSITIONS crystal
Dy 0.0000 0.0000 0.0000
Dy 0.1823 0.1823 0.0000
Dy 0.8177 0.8177 0.0000
Sn 0.3703 0.3703 0.0000
Sn 0.6297 0.6297 0.0000
Pd 0.0719 0.5719 0.5000
Pd 0.2777 0.2777 0.0000
Pd 0.4281 0.9281 0.5000
Pd 0.5000 0.5000 0.0000
Pd 0.5719 0.0719 0.5000
Pd 0.7223 0.7223 0.0000
Pd 0.9281 0.4281 0.5000
CELL_PARAMETERS angstrom
-2.0301 2.0301 14.7055
2.0301 -2.0301 14.7055
2.0301 2.0301 -14.7055
```

## Properties
The symmetry is I4/mmm. The value obtained for the energy of formation from the pure elements is -0.73 eV/atom. As for the density of states at the Fermi level: 8.61 states/eV/cell. For the final energy, the calculation gives -5.581 eV per atom.

---

Entry 3:
Material: DySn2Pd9
Method: DFT, PBE
State: optimized geometry Values from VASP.

```
&SYSTEM
  ibrav = 0, nat = 12, ntyp = 3
/
ATOMIC_SPECIES
Dy 162.50 Dy.upf
Sn 118.71 Sn.upf
Pd 106.42 Pd.upf
ATOMIC_POSITIONS crystal
Dy 0.0000 0.0000 0.0000
Sn 0.0000 0.0000 0.3349
Sn 0.0000 0.0000 0.6651
Pd 0.0000 0.5000 0.1727
Pd 0.0000 0.5000 0.5000
Pd 0.0000 0.5000 0.8273
Pd 0.5000 0.0000 0.1727
Pd 0.5000 0.0000 0.5000
Pd 0.5000 0.0000 0.8273
Pd 0.5000 0.5000 0.0000
Pd 0.5000 0.5000 0.3370
Pd 0.5000 0.5000 0.6630
CELL_PARAMETERS angstrom
4.0814 0.0000 0.0000
0.0000 4.0814 0.0000
0.0000 0.0000 12.1298
```

## Properties
The symmetry is P4/mmm. The value obtained for the energy of formation from the pure elements is -0.63 eV/atom. As for the density of states at the Fermi level: 4.41 states/eV/cell. For the final energy, the calculation gives -5.576 eV per atom.

---

Entry 4:
Material: DySnPd6
Method: DFT, PBE
State: optimized geometry Values from VASP.

```
&SYSTEM
  ibrav = 0, nat = 8, ntyp = 3
/
ATOMIC_SPECIES
Dy 162.50 Dy.upf
Sn 118.71 Sn.upf
Pd 106.42 Pd.upf
ATOMIC_POSITIONS crystal
Dy 0.0000 0.0000 0.0000
Sn 0.5000 0.5000 0.5000
Pd 0.1660 0.1660 0.5382
Pd 0.1660 0.5382 0.1660
Pd 0.4618 0.8340 0.8340
Pd 0.5382 0.1660 0.1660
Pd 0.8340 0.4618 0.8340
Pd 0.8340 0.8340 0.4618
CELL_PARAMETERS angstrom
3.7510 2.1656 3.3142
-3.7510 2.1656 3.3142
0.0000 -4.3313 3.3142
```

## Properties
Its energy relative to the lowest polymorph listed for this composition is 479 meV/atom. The symmetry is R-3m. The value obtained for the energy of formation from the pure elements is -0.20 eV/atom. As for the density of states at the Fermi level: 4.84 states/eV/cell. For the final energy, the calculation gives -5.173 eV per atom.

---

Entry 5:
Material: DySnPd6
Method: DFT, PBE
State: optimized geometry Values from VASP.

```
&SYSTEM
  ibrav = 0, nat = 8, ntyp = 3
/
ATOMIC_SPECIES
Dy 162.50 Dy.upf
Sn 118.71 Sn.upf
Pd 106.42 Pd.upf
ATOMIC_POSITIONS crystal
Dy 0.0000 0.0000 0.0000
Sn 0.5000 0.5000 0.0000
Pd 0.0000 0.5000 0.0000
Pd 0.2539 0.2539 0.5000
Pd 0.2539 0.7461 0.5000
Pd 0.5000 0.0000 0.0000
Pd 0.7461 0.2539 0.5000
Pd 0.7461 0.7461 0.5000
CELL_PARAMETERS angstrom
5.7718 0.0000 0.0000
0.0000 5.7718 0.0000
0.0000 0.0000 4.0840
```

## Properties
Its energy relative to the lowest polymorph listed for this composition is 0 meV/atom. The symmetry is P4/mmm. The value obtained for the energy of formation from the pure elements is -0.68 eV/atom. As for the density of states at the Fermi level: 2.02 states/eV/cell. For the final energy, the calculation gives -5.653 eV per atom.

---

Entry 6:
Material: Dy7Sn2Pd2
Method: DFT, PBE
State: optimized geometry Values from VASP.

```
&SYSTEM
  ibrav = 0, nat = 11, ntyp = 3
/
ATOMIC_SPECIES
Dy 162.50 Dy.upf
Sn 118.71 Sn.upf
Pd 106.42 Pd.upf
ATOMIC_POSITIONS crystal
Dy 0.0000 0.0000 0.0000
Dy 0.0000 0.5000 0.2556
Dy 0.0000 0.5000 0.7444
Dy 0.5000 0.0000 0.2556
Dy 0.5000 0.0000 0.7444
Dy 0.5000 0.5000 0.2431
Dy 0.5000 0.5000 0.7569
Sn 0.1793 0.1793 0.5000
Sn 0.8207 0.8207 0.5000
Pd 0.2862 0.7138 0.0000
Pd 0.7138 0.2862 0.0000
CELL_PARAMETERS angstrom
4.1062 -5.5356 0.0000
4.1062 5.5356 0.0000
0.0000 0.0000 7.0418
```

## Properties
The symmetry is Cmmm. The value obtained for the energy of formation from the pure elements is -0.43 eV/atom. As for the density of states at the Fermi level: 10.58 states/eV/cell. For the final energy, the calculation gives -5.035 eV per atom.

---

Entry 7:
Material: DySnPd
Method: DFT, PBE
State: optimized geometry Values from VASP.

```
&SYSTEM
  ibrav = 0, nat = 3, ntyp = 3
/
ATOMIC_SPECIES
Dy 162.50 Dy.upf
Sn 118.71 Sn.upf
Pd 106.42 Pd.upf
ATOMIC_POSITIONS crystal
Dy 0.0000 0.0000 0.0000
Sn 0.3008 0.3008 0.0000
Pd 0.6677 0.6677 0.0000
CELL_PARAMETERS angstrom
-1.7247 1.7247 5.5520
1.7247 -1.7247 5.5520
1.7247 1.7247 -5.5520
```

## Properties
The symmetry is I4mm. The value obtained for the energy of formation from the pure elements is -0.65 eV/atom. As for the density of states at the Fermi level: 2.40 states/eV/cell. For the final energy, the calculation gives -5.247 eV per atom.

---

Entry 8:
Material: Dy5Sn2Pd12
Method: DFT, PBE
State: optimized geometry Values from VASP.

```
&SYSTEM
  ibrav = 0, nat = 19, ntyp = 3
/
ATOMIC_SPECIES
Dy 162.50 Dy.upf
Sn 118.71 Sn.upf
Pd 106.42 Pd.upf
ATOMIC_POSITIONS crystal
Dy 0.0000 0.0000 0.0000
Dy 0.2447 0.2447 0.9319
Dy 0.3103 0.3103 0.4511
Dy 0.6897 0.6897 0.5489
Dy 0.7553 0.7553 0.0681
Sn 0.2610 0.7390 0.5000
Sn 0.7390 0.2610 0.5000
Pd 0.0330 0.6550 0.7524
Pd 0.1258 0.1258 0.5964
Pd 0.1931 0.5922 0.1433
Pd 0.3450 0.9670 0.2476
Pd 0.4078 0.8069 0.8567
Pd 0.4448 0.4448 0.8035
Pd 0.5552 0.5552 0.1965
Pd 0.5922 0.1931 0.1433
Pd 0.6550 0.0330 0.7524
Pd 0.8069 0.4078 0.8567
Pd 0.8742 0.8742 0.4036
Pd 0.9670 0.3450 0.2476
CELL_PARAMETERS angstrom
7.4833 -3.6323 0.0000
7.4833 3.6323 0.0000
-0.3588 0.0000 6.7920
```

## Properties
The symmetry is C2/m. The value obtained for the energy of formation from the pure elements is -0.78 eV/atom. As for the density of states at the Fermi level: 7.52 states/eV/cell. For the final energy, the calculation gives -5.696 eV per atom.

---

Look up the final energy of the fifth one. -5.653 eV per atom

---

Number 2 is which compound? Dy3Sn2Pd7